# 1
# LaIn2NiSn

A relaxed LaIn2NiSn crystal (PBE, Alexandria). Values from VASP.

```
&SYSTEM
  ibrav = 0, nat = 5, ntyp = 4
/
ATOMIC_SPECIES
La 138.91 La.upf
In 114.82 In.upf
Ni 58.69 Ni.upf
Sn 118.71 Sn.upf
CELL_PARAMETERS angstrom
4.996 0.000 0.000
0.000 4.996 0.000
0.000 0.000 5.206
ATOMIC_POSITIONS angstrom
La 0.000 0.000 0.000
In 0.000 2.498 2.603
In 2.498 0.000 2.603
Ni 0.000 0.000 2.603
Sn 2.498 2.498 0.000
```

Properties
M_tot ... 0.000 μB/cell
Formation energy from the elements ... -1.802 eV/f.u.
Energy above the most stable polymorph in this dataset ... 0.0 meV per atom
Calculated volume ... 26.0 Å³ per atom
N(E_F) ... 3.1 states/eV per cell

***

# 2
# Ti2Ga2Ni7Au

A relaxed Ti2Ga2Ni7Au crystal (PBE, Alexandria). Values from VASP.

```
&SYSTEM
  ibrav = 0, nat = 12, ntyp = 4
/
ATOMIC_SPECIES
Ti 47.87 Ti.upf
Ga 69.72 Ga.upf
Ni 58.69 Ni.upf
Au 196.97 Au.upf
CELL_PARAMETERS angstrom
2.436 -2.435 0.000
2.436 2.435 0.000
-2.184 0.000 14.175
ATOMIC_POSITIONS angstrom
Ti 0.012 0.000 3.787
Ti 2.676 0.000 10.388
Ga 0.219 0.000 8.779
Ga 2.469 0.000 5.396
Ni 0.000 0.000 0.000
Ni 1.218 1.218 2.039
Ni 0.056 0.000 6.337
Ni 1.471 1.218 12.136
Ni 1.218 -1.218 2.039
Ni 2.633 0.000 7.837
Ni 1.471 -1.218 12.136
Au 2.436 0.000 0.000
```

Properties
M_tot ... 0.000 μB/cell
Formation energy from the elements ... -0.072 eV/f.u.
Calculated volume ... 14.0 Å³ per atom
N(E_F) ... 7.2 states/eV per cell

***

# 3
# TlPd2I

A relaxed TlPd2I crystal (PBE, Alexandria). Values from VASP.

```
&SYSTEM
  ibrav = 0, nat = 8, ntyp = 3
/
ATOMIC_SPECIES
Tl 204.38 Tl.upf
Pd 106.42 Pd.upf
I 126.90 I.upf
CELL_PARAMETERS angstrom
-2.553 2.553 8.205
2.553 -2.553 8.205
2.553 2.553 -8.205
ATOMIC_POSITIONS angstrom
Tl 0.000 0.000 0.000
Tl 0.000 2.553 4.103
Pd 1.276 -1.061 6.154
Pd 1.491 1.276 2.051
Pd 1.276 3.614 -2.051
Pd 1.061 1.276 10.256
I 2.553 0.000 4.103
I 0.000 0.000 8.205
```

Properties
M_tot ... 0.000 μB/cell
Formation energy without anion corrections ... 0.052 eV per atom
Energy above the most stable polymorph in this dataset ... 0.0 meV per atom
Calculated volume ... 26.7 Å³ per atom
N(E_F) ... 0.1 states/eV per cell

***

# 4
# ZrTc2Rh

A relaxed ZrTc2Rh crystal (PBE, Alexandria). Values from VASP.

```
&SYSTEM
  ibrav = 0, nat = 4, ntyp = 3
/
ATOMIC_SPECIES
Zr 91.22 Zr.upf
Tc 98.00 Tc.upf
Rh 102.91 Rh.upf
CELL_PARAMETERS angstrom
2.891 0.000 0.000
0.000 4.780 0.000
-0.447 0.000 4.745
ATOMIC_POSITIONS angstrom
Zr 0.000 0.000 0.000
Tc 0.564 2.390 3.587
Tc 1.880 2.390 1.158
Rh 1.222 0.000 2.373
```

Properties
M_tot ... 0.000 μB/cell
Formation energy from the elements ... -0.043 eV/f.u.
Energy above the most stable polymorph in this dataset ... 153.2 meV per atom
Calculated volume ... 16.4 Å³ per atom
N(E_F) ... 4.8 states/eV per cell

***

# 5
# Pr8Tl2In

A relaxed Pr8Tl2In crystal (PBE, Alexandria). Values from VASP.

```
&SYSTEM
  ibrav = 0, nat = 11, ntyp = 3
/
ATOMIC_SPECIES
Pr 140.91 Pr.upf
Tl 204.38 Tl.upf
In 114.82 In.upf
CELL_PARAMETERS angstrom
4.566 -7.695 0.000
4.566 7.695 0.000
-2.490 0.000 5.267
ATOMIC_POSITIONS angstrom
Pr 0.373 1.706 3.094
Pr 4.566 4.295 0.000
Pr 0.373 -1.706 3.094
Pr 3.159 0.000 1.036
Pr 3.484 0.000 4.231
Pr 6.270 1.706 2.173
Pr 4.566 -4.295 0.000
Pr 6.270 -1.706 2.173
Tl 3.322 2.983 2.634
Tl 3.322 -2.983 2.634
In 0.000 0.000 0.000
```

Properties
M_tot ... 0.000 μB/cell
Formation energy from the elements ... -1.597 eV/f.u.
Energy above the most stable polymorph in this dataset ... 74.8 meV per atom
Calculated volume ... 33.7 Å³ per atom
N(E_F) ... 11.5 states/eV per cell

***

# 6
# Ga2CoI2

A relaxed Ga2CoI2 crystal (PBE, Alexandria). Values from VASP.

```
&SYSTEM
  ibrav = 0, nat = 5, ntyp = 3
/
ATOMIC_SPECIES
Ga 69.72 Ga.upf
Co 58.93 Co.upf
I 126.90 I.upf
CELL_PARAMETERS angstrom
-3.237 3.237 4.283
3.237 -3.237 4.283
3.237 3.237 -4.283
ATOMIC_POSITIONS angstrom
Ga 3.237 0.000 2.142
Ga 0.000 3.237 2.142
Co 0.000 0.000 0.000
I 0.000 0.000 2.425
I 0.000 0.000 6.142
```

Properties
M_tot ... 1.155 μB/cell
Formation energy without anion corrections ... 0.401 eV per atom
Energy above the most stable polymorph in this dataset ... 38.5 meV per atom
Calculated volume ... 35.9 Å³ per atom
N(E_F) ... 2.6 states/eV per cell